A geometry-optimized BaCd3Au structure, computed with PBE.

Unit cell a=5.3654 b=5.3654 c=5.3654 alpha=90.00 beta=90.00 gamma=90.00
Space group Pm-3m (No. 221)
Asymmetric unit:
Ba1 0.0000 0.0000 0.0000 (multiplicity 1)
Cd1 0.0000 0.5000 0.5000 (multiplicity 3)
Au1 0.5000 0.5000 0.5000 (multiplicity 1)

Values from the calculation:
D(E_F) in states/eV per atom: 0.903
Total magnetic moment in μB/cell: 0.0
Polymorph energy (0 for the lowest one) in kcal/mol of atoms: 3.507
Formation energy in eV/atom: -0.23
Electronic total energy in eV per formula unit: -9.1